Below is an optimized crystal structure of NaNiBO2, with properties calculated at the PBE+U level. Values from VASP.

Quantum ESPRESSO input file:
```
&SYSTEM
  ibrav = 0, nat = 5, ntyp = 4
/
ATOMIC_SPECIES
Na 22.99 Na.upf
Ni 58.69 Ni.upf
B 10.81 B.upf
O 16.00 O.upf
ATOMIC_POSITIONS angstrom
Na 0.0000 0.0000 0.0000
Ni 1.9758 1.9758 1.8687
B 1.9758 1.9758 0.0000
O 0.0000 1.9758 1.8687
O 1.9758 0.0000 1.8687
CELL_PARAMETERS angstrom
3.9517 0.0000 0.0000
0.0000 3.9517 0.0000
0.0000 0.0000 3.7374
```

Values from the calculation:
total moment: 0.79 Bohr magnetons per cell
uncorrected energy: -3.910 eV per atom
Fermi-level density of states: 0.38 states/eV/atom